(1)
Entry from the Alexandria database: TaSe2Cl at its PBEsol-relaxed geometry (SCAN).

Cell and atoms, written as extended XYZ:
```
4
Lattice="4.591 0.000 0.000 2.295 3.976 0.000 2.295 1.325 3.748" Properties=species:S:1:pos:R:3 pbc="T T T"
Se 0.000 0.000 0.000
Se 6.886 3.976 2.811
Cl 2.295 1.325 0.937
Ta 4.591 2.651 1.874
```

Properties
Calculated density ... 9.09 g/cm³
Spin magnetization ... 0.0 μB/cell
Raw formation energy ... 296 meV/atom
Total DFT energy (no corrections) ... -113.5 eV per cell
Symmetry ... No. 216

***

(2)
Entry from the Alexandria database: TaSeCl2 at its PBEsol-relaxed geometry (SCAN).

Cell and atoms, written as extended XYZ:
```
4
Lattice="3.067 0.000 0.000 0.000 3.067 0.000 0.000 0.000 8.375" Properties=species:S:1:pos:R:3 pbc="T T T"
Ta 1.533 1.533 6.252
Se 0.000 0.000 4.734
Cl 1.533 1.533 2.116
Cl 0.000 0.000 7.835
```

Properties
Calculated density ... 6.98 g/cm³
Spin magnetization ... 0.6 μB/cell
Raw formation energy ... -442 meV/atom
Total DFT energy (no corrections) ... -104.4 eV per cell
Symmetry ... No. 99

***

(3)
Entry from the Alexandria database: TaSeCl4 at its PBEsol-relaxed geometry (SCAN).

Cell and atoms, written as extended XYZ:
```
6
Lattice="-3.004 0.293 -4.449 -5.213 -1.299 0.186 -3.743 3.830 -0.468" Properties=species:S:1:pos:R:3 pbc="T T T"
Cl -6.358 2.982 -2.007
Cl -5.987 1.205 -4.006
Cl -7.097 0.405 -1.678
Cl -4.478 1.057 -1.771
Ta 0.000 0.000 0.000
Se -8.970 2.118 -3.548
```

Properties
Calculated density ... 6.07 g/cm³
Spin magnetization ... 0.0 μB/cell
Raw formation energy ... 1070 meV/atom
Total DFT energy (no corrections) ... -112.2 eV per cell
Symmetry ... No. 216

***

(4)
Entry from the Alexandria database: TaSe2Cl at its PBEsol-relaxed geometry (SCAN).

Cell and atoms, written as extended XYZ:
```
4
Lattice="-1.991 -0.170 -2.331 3.498 -2.219 -2.826 -2.589 -4.194 4.538" Properties=species:S:1:pos:R:3 pbc="T T T"
Ta 1.749 -1.109 -1.413
Se 0.140 -2.997 -1.923
Se -1.221 -3.586 1.304
Cl -0.995 -0.085 -1.165
```

Properties
Calculated density ... 6.71 g/cm³
Spin magnetization ... 0.0 μB/cell
Raw formation energy ... -328 meV/atom
Total DFT energy (no corrections) ... -116.0 eV per cell
Symmetry ... No. 71

***

(5)
Entry from the Alexandria database: TaSeCl at its PBEsol-relaxed geometry (SCAN).

Cell and atoms, written as extended XYZ:
```
3
Lattice="-0.432 3.207 0.102 -2.276 -1.899 -1.302 -3.036 -0.606 6.190" Properties=species:S:1:pos:R:3 pbc="T T T"
Se -3.441 -0.552 2.794
Ta -2.055 1.304 1.691
Cl -0.247 -0.049 0.504
```

Properties
Calculated density ... 7.81 g/cm³
Spin magnetization ... 0.0 μB/cell
Raw formation energy ... -821 meV/atom
Total DFT energy (no corrections) ... -97.1 eV per cell
Symmetry ... No. 156

***

(6)
Entry from the Alexandria database: TaSeCl2 at its PBEsol-relaxed geometry (SCAN).

Cell and atoms, written as extended XYZ:
```
4
Lattice="-2.330 -3.168 1.396 2.191 -0.046 3.551 -2.408 4.117 -0.912" Properties=species:S:1:pos:R:3 pbc="T T T"
Cl -2.403 -0.329 1.479
Cl -0.143 1.232 2.556
Ta 0.000 0.000 0.000
Se -0.069 -1.607 2.474
```

Properties
Calculated density ... 8.18 g/cm³
Spin magnetization ... 0.0 μB/cell
Raw formation energy ... 400 meV/atom
Total DFT energy (no corrections) ... -101.0 eV per cell
Symmetry ... No. 139

***

(7)
Entry from the Alexandria database: TaSe2Cl at its PBEsol-relaxed geometry (SCAN).

Cell and atoms, written as extended XYZ:
```
4
Lattice="-0.811 1.197 2.720 5.339 -3.287 1.294 0.173 6.059 -2.614" Properties=species:S:1:pos:R:3 pbc="T T T"
Ta 4.994 -0.419 1.674
Cl 1.689 3.257 -0.929
Se 0.049 0.429 -0.174
Se 2.988 1.042 2.178
```

Properties
Calculated density ... 5.87 g/cm³
Spin magnetization ... 0.0 μB/cell
Raw formation energy ... -827 meV/atom
Total DFT energy (no corrections) ... -118.0 eV per cell
Symmetry ... No. 8

***

(8)
Entry from the Alexandria database: Tc2SeCl at its PBEsol-relaxed geometry (SCAN).

Cell and atoms, written as extended XYZ:
```
4
Lattice="3.041 0.000 0.000 0.000 4.304 0.000 0.000 0.000 4.304" Properties=species:S:1:pos:R:3 pbc="T T T"
Tc 0.000 0.000 2.152
Tc 0.000 2.152 0.000
Se 1.520 0.000 0.000
Cl 1.520 2.152 2.152
```

Properties
Calculated density ... 9.15 g/cm³
Spin magnetization ... 0.0 μB/cell
Raw formation energy ... 674 meV/atom
Total DFT energy (no corrections) ... -95.5 eV per cell
Symmetry ... No. 123

***

(9)
Entry from the Alexandria database: Tc2SeCl at its PBEsol-relaxed geometry (SCAN).

Cell and atoms, written as extended XYZ:
```
4
Lattice="-1.027 -2.688 0.661 3.032 -1.571 -1.679 3.002 0.152 5.278" Properties=species:S:1:pos:R:3 pbc="T T T"
Cl 1.227 0.062 2.157
Se 3.511 -2.002 3.902
Tc 1.675 -2.095 0.674
Tc 0.094 0.005 0.166
```

Properties
Calculated density ... 7.55 g/cm³
Spin magnetization ... 0.0 μB/cell
Raw formation energy ... 130 meV/atom
Total DFT energy (no corrections) ... -97.7 eV per cell
Symmetry ... No. 25

***

(10)
Entry from the Alexandria database: TeSeCl2 at its PBEsol-relaxed geometry (SCAN).

Cell and atoms, written as extended XYZ:
```
4
Lattice="-3.772 0.814 0.462 -2.666 -1.870 -2.122 -2.680 -6.057 5.143" Properties=species:S:1:pos:R:3 pbc="T T T"
Te -2.295 -1.941 1.033
Se -4.549 -3.447 1.632
Cl -6.804 -4.969 2.247
Cl -6.467 -1.368 -1.349
```

Properties
Calculated density ... 4.36 g/cm³
Spin magnetization ... 0.0 μB/cell
Raw formation energy ... -218 meV/atom
Total DFT energy (no corrections) ... -74.2 eV per cell
Symmetry ... No. 160

***

(11)
Entry from the Alexandria database: TeSeCl2 at its PBEsol-relaxed geometry (SCAN).

Cell and atoms, written as extended XYZ:
```
4
Lattice="4.394 0.033 0.000 -0.088 4.394 0.000 0.000 0.000 4.703" Properties=species:S:1:pos:R:3 pbc="T T T"
Se 2.153 2.213 2.351
Cl 0.986 3.348 0.000
Cl 3.319 1.079 0.000
Te 0.000 0.000 2.351
```

Properties
Calculated density ... 5.07 g/cm³
Spin magnetization ... 0.0 μB/cell
Raw formation energy ... 131 meV/atom
Total DFT energy (no corrections) ... -72.8 eV per cell
Symmetry ... No. 65

***

(12)
Entry from the Alexandria database: Ti2SeCl at its PBEsol-relaxed geometry (SCAN).

Cell and atoms, written as extended XYZ:
```
8
Lattice="4.617 0.000 0.000 0.000 4.617 0.000 -2.308 -2.308 7.258" Properties=species:S:1:pos:R:3 pbc="T T T"
Cl 2.308 2.308 0.000
Cl 2.308 0.000 3.629
Se 0.000 2.308 3.629
Se 0.000 0.000 0.000
Ti 3.332 1.154 1.814
Ti 1.285 3.462 1.814
Ti 1.154 1.024 5.443
Ti -1.154 -1.024 5.443
```

Properties
Calculated density ... 4.51 g/cm³
Spin magnetization ... 8.7 μB/cell
Raw formation energy ... -588 meV/atom
Total DFT energy (no corrections) ... -124.9 eV per cell
Symmetry ... No. 122

***

(13)
Entry from the Alexandria database: TiSeCl2 at its PBEsol-relaxed geometry (SCAN).

Cell and atoms, written as extended XYZ:
```
4
Lattice="3.144 0.000 0.000 1.572 2.723 0.000 1.572 0.908 11.269" Properties=species:S:1:pos:R:3 pbc="T T T"
Cl 1.572 0.908 9.105
Cl 4.716 2.723 2.163
Ti 0.000 0.000 0.000
Se 3.144 1.815 5.634
```

Properties
Calculated density ... 3.40 g/cm³
Spin magnetization ... 0.3 μB/cell
Raw formation energy ... -308 meV/atom
Total DFT energy (no corrections) ... -53.3 eV per cell
Symmetry ... No. 166

***

(14)
Entry from the Alexandria database: TlSe2Cl at its PBEsol-relaxed geometry (SCAN).

Cell and atoms, written as extended XYZ:
```
4
Lattice="3.705 0.000 0.000 1.852 5.586 0.306 1.852 2.124 5.176" Properties=species:S:1:pos:R:3 pbc="T T T"
Se 5.557 6.360 4.522
Se 0.000 0.000 0.000
Tl 3.705 3.560 2.531
Cl 1.852 1.646 1.170
```

Properties
Calculated density ... 6.31 g/cm³
Spin magnetization ... 0.0 μB/cell
Raw formation energy ... -355 meV/atom
Total DFT energy (no corrections) ... -121.9 eV per cell
Symmetry ... No. 44